Entry from Alexandria: a relaxed CrMo2Cl crystal (GGA-PBE).

a b c (Å): 3.095 3.095 6.935
angles (deg): 90.00 90.00 90.00
Sites, in units of the cell vectors:
1 Cr 0.000 0.000 0.000
2 Mo 0.000 0.000 0.432
3 Mo 0.500 0.500 0.218
4 Cl 0.500 0.500 0.737

## Properties
Energy relative to the lowest polymorph listed for this composition (meV per atom): 161.8
Space group: P4mm (99)
Formation energy without anion corrections (eV per atom): 0.39
Total moment (μB/f.u.): 2.92


Entry from Alexandria: a relaxed Cr2MoCl crystal (GGA-PBE).

a b c (Å): 2.980 2.980 7.924
angles (deg): 90.00 90.00 113.57
Sites, in units of the cell vectors:
1 Cr 0.000 0.000 0.240
2 Cr 0.000 0.000 0.760
3 Mo 0.500 0.500 0.000
4 Cl 0.500 0.500 0.500

## Properties
Energy relative to the lowest polymorph listed for this composition (meV per atom): 166.5
Space group: Cmmm (65)
Formation energy without anion corrections (eV per atom): 0.37
Total moment (μB/f.u.): 5.41


Entry from Alexandria: a relaxed Cr2MoCl crystal (GGA-PBE).

a b c (Å): 5.106 5.106 5.106
angles (deg): 147.28 130.06 61.00
Sites, in units of the cell vectors:
1 Cr 0.000 0.000 0.000
2 Cr 0.745 0.245 0.500
3 Mo 0.459 0.459 0.000
4 Cl 0.217 0.717 0.500

## Properties
Energy relative to the lowest polymorph listed for this composition (meV per atom): 456.1
Space group: Imm2 (44)
Formation energy without anion corrections (eV per atom): 0.66
Total moment (μB/f.u.): 0.46


Entry from Alexandria: a relaxed Cr2MoCl crystal (GGA-PBE).

a b c (Å): 2.926 4.256 4.557
angles (deg): 90.00 90.00 90.00
Sites, in units of the cell vectors:
1 Cr 0.000 0.000 0.000
2 Cr 0.500 0.000 0.500
3 Mo 0.000 0.500 0.500
4 Cl 0.500 0.500 0.000

## Properties
Energy relative to the lowest polymorph listed for this composition (meV per atom): 505.4
Space group: Pmmm (47)
Formation energy without anion corrections (eV per atom): 0.71
Total moment (μB/f.u.): 0.88


Entry from Alexandria: a relaxed Cr2MoCl2 crystal (GGA-PBE).

a b c (Å): 5.907 5.907 5.907
angles (deg): 140.58 140.58 56.97
Sites, in units of the cell vectors:
1 Cr 0.095 0.095 0.000
2 Cr 0.905 0.905 0.000
3 Mo 0.500 0.500 0.000
4 Cl 0.250 0.750 0.500
5 Cl 0.750 0.250 0.500

## Properties
Energy relative to the lowest polymorph listed for this composition (meV per atom): 0.0
Space group: I4/mmm (139)
Formation energy without anion corrections (eV per atom): 0.75
Total moment (μB/f.u.): 1.36


Entry from Alexandria: a relaxed Cr2MoCl crystal (GGA-PBE).

a b c (Å): 3.105 3.105 6.855
angles (deg): 90.00 90.00 90.00
Sites, in units of the cell vectors:
1 Cr 0.000 0.000 0.210
2 Cr 0.000 0.000 0.790
3 Mo 0.500 0.500 0.000
4 Cl 0.500 0.500 0.500

## Properties
Energy relative to the lowest polymorph listed for this composition (meV per atom): 131.6
Space group: P4/mmm (123)
Formation energy without anion corrections (eV per atom): 0.33
Total moment (μB/f.u.): 4.74